--- a ---
Crystalline CsNaIr at its relaxed geometry, computed with PBE.

```
data_CsNaIr
_chemical_formula_sum 'Cs4 Na4 Ir4'
_cell_length_a 7.477
_cell_length_b 7.477
_cell_length_c 7.477
_cell_angle_alpha 90.00
_cell_angle_beta 90.00
_cell_angle_gamma 90.00
_symmetry_space_group_name_H-M 'F -4 3 m'
_symmetry_Int_Tables_number 216
_symmetry_space_group_name_Hall 'F -4 2 3'
loop_
_atom_site_label
_atom_site_type_symbol
_atom_site_fract_x
_atom_site_fract_y
_atom_site_fract_z
Cs1 Cs 0.000 0.000 0.000
Na1 Na 0.250 0.250 0.250
Ir1 Ir 0.250 0.250 0.750
```

--- b ---
Crystalline CsNaIr at its relaxed geometry, computed with PBE.

```
data_CsNaIr
_chemical_formula_sum 'Cs4 Na4 Ir4'
_cell_length_a 7.531
_cell_length_b 7.531
_cell_length_c 7.531
_cell_angle_alpha 90.00
_cell_angle_beta 90.00
_cell_angle_gamma 90.00
_symmetry_space_group_name_H-M 'F -4 3 m'
_symmetry_Int_Tables_number 216
_symmetry_space_group_name_Hall 'F -4 2 3'
loop_
_atom_site_label
_atom_site_type_symbol
_atom_site_fract_x
_atom_site_fract_y
_atom_site_fract_z
Cs1 Cs 0.000 0.000 0.000
Na1 Na 0.000 0.000 0.500
Ir1 Ir 0.250 0.250 0.250
```

What should be chosen as the least stable of them? Choose a.

--- a ---
Crystalline CsNdIr at its relaxed geometry, computed with PBE.

```
data_CsNdIr
_chemical_formula_sum 'Cs4 Nd4 Ir4'
_cell_length_a 7.068
_cell_length_b 7.068
_cell_length_c 7.068
_cell_angle_alpha 90.00
_cell_angle_beta 90.00
_cell_angle_gamma 90.00
_symmetry_space_group_name_H-M 'F -4 3 m'
_symmetry_Int_Tables_number 216
_symmetry_space_group_name_Hall 'F -4 2 3'
loop_
_atom_site_label
_atom_site_type_symbol
_atom_site_fract_x
_atom_site_fract_y
_atom_site_fract_z
Cs1 Cs 0.000 0.000 0.000
Nd1 Nd 0.250 0.250 0.250
Ir1 Ir 0.250 0.250 0.750
```

--- b ---
Crystalline CsNdIr at its relaxed geometry, computed with PBE.

```
data_CsNdIr
_chemical_formula_sum 'Cs4 Nd4 Ir4'
_cell_length_a 7.249
_cell_length_b 7.249
_cell_length_c 7.249
_cell_angle_alpha 90.00
_cell_angle_beta 90.00
_cell_angle_gamma 90.00
_symmetry_space_group_name_H-M 'F -4 3 m'
_symmetry_Int_Tables_number 216
_symmetry_space_group_name_Hall 'F -4 2 3'
loop_
_atom_site_label
_atom_site_type_symbol
_atom_site_fract_x
_atom_site_fract_y
_atom_site_fract_z
Cs1 Cs 0.000 0.000 0.000
Nd1 Nd 0.000 0.000 0.500
Ir1 Ir 0.250 0.250 0.250
```

What should be chosen as the least stable of them? Choose a.

--- a ---
Crystalline CsIrSO at its relaxed geometry, computed with PBE.

```
data_CsIrSO
_chemical_formula_sum 'Cs2 Ir2 S2 O2'
_cell_length_a 4.423
_cell_length_b 4.423
_cell_length_c 9.888
_cell_angle_alpha 90.00
_cell_angle_beta 90.00
_cell_angle_gamma 90.00
_symmetry_space_group_name_H-M 'P 4/n m m'
_symmetry_Int_Tables_number 129
loop_
_symmetry_equiv_pos_as_xyz
'x,y,z'
'-x,-y,-z'
'-y+1/2,x,z'
'y+1/2,-x,-z'
'-x+1/2,-y+1/2,z'
'x+1/2,y+1/2,-z'
'y,-x+1/2,z'
'-y,x+1/2,-z'
'x+1/2,-y,-z'
'-x+1/2,y,z'
'-y,-x,-z'
'y,x,z'
'-x,y+1/2,-z'
'x,-y+1/2,z'
'y+1/2,x+1/2,-z'
'-y+1/2,-x+1/2,z'
loop_
_atom_site_label
_atom_site_type_symbol
_atom_site_fract_x
_atom_site_fract_y
_atom_site_fract_z
Cs1 Cs 0.250 0.750 0.000
Ir1 Ir 0.250 0.250 0.458
S1 S 0.250 0.250 0.236
O1 O 0.250 0.750 0.500
```

--- b ---
Crystalline CsIrSO at its relaxed geometry, computed with PBE.

```
data_CsIrSO
_chemical_formula_sum 'Cs4 Ir4 S4 O4'
_cell_length_a 5.692
_cell_length_b 6.296
_cell_length_c 12.929
_cell_angle_alpha 90.00
_cell_angle_beta 93.69
_cell_angle_gamma 90.00
_symmetry_space_group_name_H-M 'P 1 21/c 1'
_symmetry_Int_Tables_number 14
_symmetry_space_group_name_Hall '-P 2ybc'
loop_
_atom_site_label
_atom_site_type_symbol
_atom_site_fract_x
_atom_site_fract_y
_atom_site_fract_z
Cs1 Cs 0.185 0.241 0.444
Ir1 Ir 0.403 0.732 0.325
S1 S 0.344 0.517 0.709
O1 O 0.271 0.743 0.449
```

--- c ---
Crystalline CsIrSO at its relaxed geometry, computed with PBE.

```
data_CsIrSO
_chemical_formula_sum 'Cs4 Ir4 S4 O4'
_cell_length_a 6.650
_cell_length_b 9.159
_cell_length_c 5.939
_cell_angle_alpha 90.00
_cell_angle_beta 90.00
_cell_angle_gamma 90.00
_symmetry_space_group_name_H-M 'P c a 21'
_symmetry_Int_Tables_number 29
_symmetry_space_group_name_Hall 'P 2c -2ac'
loop_
_atom_site_label
_atom_site_type_symbol
_atom_site_fract_x
_atom_site_fract_y
_atom_site_fract_z
Cs1 Cs 0.062 0.155 0.000
Ir1 Ir 0.116 0.623 0.002
S1 S 0.144 0.486 0.682
O1 O 0.074 0.827 0.986
```

What should be chosen as the least stable of them? Choose a.